1.
# MgMnRh2 (PBE, relaxed)
data_MgMnRh2
_space_group_name_H-M_alt 'P m m 2'
_space_group_IT_number 25
_space_group_name_Hall 'P 2 -2'
_cell_length_a 2.830
_cell_length_b 3.939
_cell_length_c 5.316
_cell_angle_alpha 90.00
_cell_angle_beta 90.00
_cell_angle_gamma 90.00
loop_
_atom_site_label
_atom_site_fract_x
_atom_site_fract_y
_atom_site_fract_z
Mg1 0.000 0.000 0.000
Mn1 0.500 0.500 0.293
Rh1 0.000 0.000 0.496
Rh2 0.500 0.500 0.779
# Total DFT energy (no corrections): -26.054 eV per cell
# Energy of formation: -0.15 eV/atom

=====

2.
# MgMn2Rh (PBE, relaxed)
data_MgMn2Rh
_space_group_name_H-M_alt 'P 4/m m m'
_space_group_IT_number 123
_space_group_name_Hall '-P 4 2'
_cell_length_a 4.004
_cell_length_b 4.004
_cell_length_c 3.798
_cell_angle_alpha 90.00
_cell_angle_beta 90.00
_cell_angle_gamma 90.00
loop_
_atom_site_label
_atom_site_fract_x
_atom_site_fract_y
_atom_site_fract_z
Mg1 0.000 0.000 0.000
Mn1 0.000 0.500 0.500
Rh1 0.500 0.500 0.000
# Total DFT energy (no corrections): -27.221 eV per cell
# Energy of formation: 0.02 eV/atom

=====

3.
# MgMn3Rh (PBE, relaxed)
data_MgMn3Rh
_space_group_name_H-M_alt 'P m -3 m'
_space_group_IT_number 221
_space_group_name_Hall '-P 4 2 3'
_cell_length_a 4.816
_cell_length_b 4.816
_cell_length_c 4.816
_cell_angle_alpha 90.00
_cell_angle_beta 90.00
_cell_angle_gamma 90.00
loop_
_atom_site_label
_atom_site_fract_x
_atom_site_fract_y
_atom_site_fract_z
Mg1 0.000 0.000 0.000
Mn1 0.000 0.500 0.500
Rh1 0.500 0.500 0.500
# Total DFT energy (no corrections): -32.631 eV per cell
# Polymorph energy (0 for the lowest one): 0 meV per atom
# Energy of formation: 0.76 eV/atom

=====

4.
# MgMnRh (PBE, relaxed)
data_MgMnRh
_space_group_name_H-M_alt 'P -1'
_space_group_IT_number 2
_space_group_name_Hall '-P 1'
_cell_length_a 2.871
_cell_length_b 4.843
_cell_length_c 6.911
_cell_angle_alpha 71.68
_cell_angle_beta 89.99
_cell_angle_gamma 73.00
loop_
_atom_site_label
_atom_site_fract_x
_atom_site_fract_y
_atom_site_fract_z
Mg1 0.156 0.187 0.107
Mn1 0.173 0.154 0.524
Rh1 0.469 0.567 0.269
# Total DFT energy (no corrections): -36.457 eV per cell
# Energy of formation: -0.04 eV/atom

=====

5.
# MgMnRh (PBE, relaxed)
data_MgMnRh
_space_group_name_H-M_alt 'P 1 21/m 1'
_space_group_IT_number 11
_space_group_name_Hall '-P 2yb'
_cell_length_a 4.529
_cell_length_b 2.848
_cell_length_c 7.143
_cell_angle_alpha 90.00
_cell_angle_beta 107.89
_cell_angle_gamma 90.00
loop_
_atom_site_label
_atom_site_fract_x
_atom_site_fract_y
_atom_site_fract_z
Mg1 0.004 0.250 0.310
Mn1 0.327 0.250 0.028
Rh1 0.484 0.250 0.671
# Total DFT energy (no corrections): -36.207 eV per cell
# Energy of formation: 0.00 eV/atom

=====

6.
# MgMnRh2 (PBE, relaxed)
data_MgMnRh2
_space_group_name_H-M_alt 'P 4 m m'
_space_group_IT_number 99
_space_group_name_Hall 'P 4 -2'
_cell_length_a 2.834
_cell_length_b 2.834
_cell_length_c 7.679
_cell_angle_alpha 90.00
_cell_angle_beta 90.00
_cell_angle_gamma 90.00
loop_
_atom_site_label
_atom_site_fract_x
_atom_site_fract_y
_atom_site_fract_z
Mg1 0.000 0.000 0.000
Mn1 0.500 0.500 0.296
Rh1 0.000 0.000 0.516
Rh2 0.500 0.500 0.757
# Total DFT energy (no corrections): -25.579 eV per cell
# Energy of formation: -0.03 eV/atom

=====

no.,D(E_F) (states/eV per cell)
1,3.44
2,3.02
3,2.91
4,6.36
5,6.18
6,4.06